No. 1
This record from the Alexandria database describes Hf12AgSn6 after structural relaxation. The functional is PBE.

Cell lengths 13.6223, 13.6223, 7.7412 Å; angles 90.00, 90.00, 120.00 degrees
Last column: nearest neighbours and their distance in Å.
Space group R-3 (No. 148, hexagonal axes)
Unique sites:
1 Hf 0.0092 0.1351 0.1699 (multiplicity 18)  4 Sn 2.96-3.24, 7 Hf 3.08-3.29, 1 Ag 3.11
2 Hf 0.0629 0.5708 0.1655 (multiplicity 18)  5 Sn 3.00-3.31, 6 Hf 3.09-3.29, 1 Ag 3.23
3 Ag 0.0000 0.0000 0.5000 (multiplicity 3)  12 Hf 3.11-3.23
4 Sn 0.0283 0.2692 0.8416 (multiplicity 18)  9 Hf 2.96-3.31, 3 Sn 3.23-3.27

Calculated values
The electronic total energy is -0.290 Ha/atom. Its mass density is 11.86 g/cm³. The formation energy is -200 meV per atom. The volume is 1244.1 Å³ per cell. The size of the total moment is 0.0 Bohr magnetons per cell.

***

No. 2
This record from the Alexandria database describes Hf2AgSn2 after structural relaxation. The functional is PBE.

Cell lengths 7.2782, 7.2782, 4.1349 Å; angles 90.00, 90.00, 90.00 degrees
Last column: nearest neighbours and their distance in Å.
Space group P4/mbm (No. 127)
Unique sites:
1 Hf 0.1703 0.3297 0.0000 (multiplicity 4)  6 Sn 2.87-3.05
2 Ag 0.0000 0.0000 0.5000 (multiplicity 2)  4 Sn 2.83
3 Sn 0.1367 0.6367 0.5000 (multiplicity 4)  1 Sn 2.81, 2 Ag 2.83, 6 Hf 2.87-3.05

Calculated values
The electronic total energy is -0.228 Ha/atom. Its mass density is 10.65 g/cm³. Its relative energy among the computed polymorphs is 0 meV/atom. The formation energy is -62 meV per atom. The volume is 219.0 Å³ per cell. The size of the total moment is 0.0 Bohr magnetons per cell.

***

No. 3
This record from the Alexandria database describes HfTcAgSn2 after structural relaxation. The functional is PBE.

Cell lengths 5.1292, 5.1292, 4.9749 Å; angles 90.00, 90.00, 90.00 degrees
Last column: nearest neighbours and their distance in Å.
Space group P4/mmm (No. 123)
Unique sites:
1 Hf 0.0000 0.0000 0.0000 (multiplicity 1)  2 Tc 2.49
2 Tc 0.0000 0.0000 0.5000 (multiplicity 1)  2 Hf 2.49, 4 Sn 2.56
3 Ag 0.5000 0.5000 0.0000 (multiplicity 1)  8 Sn 3.57, 4 Hf 3.63
4 Sn 0.0000 0.5000 0.5000 (multiplicity 2)  2 Tc 2.56

Calculated values
The electronic total energy is -0.215 Ha/atom. Its mass density is 7.89 g/cm³. The formation energy is 376 meV per atom. The volume is 130.9 Å³ per cell. The size of the total moment is 0.0 Bohr magnetons per cell.

***

No. 4
This record from the Alexandria database describes HfTiAgSn after structural relaxation. The functional is PBE.

Cell lengths 6.7923, 6.7923, 6.7923 Å; angles 90.00, 90.00, 90.00 degrees
Last column: nearest neighbours and their distance in Å.
Space group F-43m (No. 216)
Unique sites:
1 Hf 0.0000 0.0000 0.0000 (multiplicity 4)  4 Ag 2.94, 4 Sn 2.94
2 Ti 0.0000 0.0000 0.5000 (multiplicity 4)  4 Sn 2.94, 4 Ag 2.94
3 Ag 0.2500 0.2500 0.2500 (multiplicity 4)  4 Hf 2.94, 4 Ti 2.94
4 Sn 0.2500 0.2500 0.7500 (multiplicity 4)  4 Hf 2.94, 4 Ti 2.94

Calculated values
The electronic total energy is -0.230 Ha/atom. Its mass density is 9.60 g/cm³. The formation energy is -74 meV per atom. The volume is 313.4 Å³ per cell. The size of the total moment is 0.0 Bohr magnetons per cell.